(1)
Density functional theory data (PBE) for Ag2IrCl after structural relaxation.

CIF file:
```
data_Ag2IrCl
_space_group_name_H-M_alt 'R -3 m'
_space_group_IT_number 166
_space_group_name_Hall '-R 3 2"'
_cell_length_a 3.0104
_cell_length_b 3.0104
_cell_length_c 26.4014
_cell_angle_alpha 90.00
_cell_angle_beta 90.00
_cell_angle_gamma 120.00
loop_
_atom_site_label
_atom_site_type_symbol
_atom_site_fract_x
_atom_site_fract_y
_atom_site_fract_z
Ag1 Ag 0.0000 0.0000 0.2487
Ir1 Ir 0.0000 0.0000 0.0000
Cl1 Cl 0.0000 0.0000 0.5000
```

E above lowest polymorph, meV/atom: 0
Electronic total energy, eV per atom: -3.789
Total magnetization, μB per cell: 2.78
Formation energy (no corrections), eV per atom: 0.3136


(2)
Density functional theory data (PBE) for AgIr2Cl after structural relaxation.

CIF file:
```
data_AgIr2Cl
_space_group_name_H-M_alt 'P m m 2'
_space_group_IT_number 25
_cell_length_a 2.779
_cell_length_b 3.776
_cell_length_c 7.296
_cell_angle_alpha 90.00
_cell_angle_beta 90.00
_cell_angle_gamma 90.00
loop_
_space_group_symop_operation_xyz
'x,y,z'
'-x,-y,z'
'-x,y,z'
'x,-y,z'
loop_
_atom_site_label
_atom_site_type_symbol
_atom_site_fract_x
_atom_site_fract_y
_atom_site_fract_z
Ag1 Ag 0.000 0.000 0.000
Ir1 Ir 0.000 0.000 0.600
Ir2 Ir 0.500 0.500 0.732
Cl1 Cl 0.500 0.500 0.234
```

E above lowest polymorph, meV/atom: 162
Electronic total energy, eV per atom: -5.133
Total magnetization, μB per cell: 0.00
Formation energy (no corrections), eV per atom: 0.4715


Copy entry 2 word for word.
Density functional theory data (PBE) for AgIr2Cl after structural relaxation.

CIF file:
```
data_AgIr2Cl
_space_group_name_H-M_alt 'P m m 2'
_space_group_IT_number 25
_cell_length_a 2.779
_cell_length_b 3.776
_cell_length_c 7.296
_cell_angle_alpha 90.00
_cell_angle_beta 90.00
_cell_angle_gamma 90.00
loop_
_space_group_symop_operation_xyz
'x,y,z'
'-x,-y,z'
'-x,y,z'
'x,-y,z'
loop_
_atom_site_label
_atom_site_type_symbol
_atom_site_fract_x
_atom_site_fract_y
_atom_site_fract_z
Ag1 Ag 0.000 0.000 0.000
Ir1 Ir 0.000 0.000 0.600
Ir2 Ir 0.500 0.500 0.732
Cl1 Cl 0.500 0.500 0.234
```

E above lowest polymorph, meV/atom: 162
Electronic total energy, eV per atom: -5.133
Total magnetization, μB per cell: 0.00
Formation energy (no corrections), eV per atom: 0.4715


- Which formula does entry 1 have?
  Ag2IrCl